Below is a relaxed structure of Mg3PRh, with properties calculated at the PBE-GGA level.

As for the space group: Pm-3m (221). Its formation energy is 0.16 eV per atom. The magnetization is 0.000 μB/f.u.

a b c (Å): 4.741 4.741 4.741
angles (deg): 90.00 90.00 90.00
Element x y z (fractional)
P 0.000 0.000 0.000
Mg 0.000 0.500 0.000
Mg 0.000 0.000 0.500
Mg 0.500 0.000 0.000
Rh 0.500 0.500 0.500

Below is a relaxed structure of MgPRh, with properties calculated at the PBE-GGA level.

As for the space group: P3m1 (156). Its formation energy is -0.47 eV per atom. The magnetization is 0.000 μB/f.u.

a b c (Å): 3.184 3.184 5.686
angles (deg): 90.00 90.00 120.00
Element x y z (fractional)
Mg 0.000 0.000 0.000
P 0.333 0.667 0.378
Rh 0.667 0.333 0.622

Record order is preserved below.
Calculated density: 3.22, 5.26 Mg/m³